First-principles (PBE) data for Fe2BMo2 after structural relaxation, as listed in Alexandria via LeMat-Bulk.

Lattice parameters (Å, degrees): 5.2914 5.2914 4.2654 90.00 90.00 90.00
Fractional positions:
Mo1 0.1760 0.6760 0.5000
Mo2 0.6760 0.8240 0.5000
Mo3 0.8240 0.3240 0.5000
Mo4 0.3240 0.1760 0.5000
B1 0.0000 0.0000 0.0000
B2 0.5000 0.5000 0.0000
Fe1 0.3479 0.8479 0.0000
Fe2 0.8479 0.6521 0.0000
Fe3 0.6521 0.1521 0.0000
Fe4 0.1521 0.3479 0.0000

Output
The value obtained for the density of states at the Fermi level is 11.05 states/eV per cell. Its total energy is -8.922 eV per atom. The formation energy comes out at 0.13 eV per atom. The volume is 11.94 Å³/atom.